(1)
Computed, not measured: crystalline Zr2CrRe at its relaxed geometry at the PBE level of DFT.

Cell lengths 4.3774, 3.0252, 5.4490 Å; angles 77.74, 90.00, 90.00 degrees
With the nearest neighbours (Å) after each atom.
Sites, in units of the cell vectors:
1 Zr 0.5000 0.2703 0.2658  2 Re 2.72-2.94, 2 Cr 2.78, 4 Zr 2.92-3.03
2 Zr 0.0000 0.9844 0.9798  2 Cr 2.67-2.99, 2 Re 2.77, 2 Zr 2.92
3 Re 0.5000 0.7279 0.7328  2 Cr 2.61, 3 Zr 2.72-2.77
4 Cr 0.0000 0.5174 0.5215  2 Re 2.61, 3 Zr 2.67-2.78

Computed properties:
formation enthalpy at 0 K: 0.139 eV/atom
space-group type: Pm, No. 6
polymorph energy (0 for the lowest one): 175 meV per atom

***

(2)
Computed, not measured: crystalline Zr2CrRe at its relaxed geometry at the PBE level of DFT.

Cell lengths 3.0085, 3.0085, 8.1100 Å; angles 90.00, 90.00, 90.00 degrees
With the nearest neighbours (Å) after each atom.
Sites, in units of the cell vectors:
1 Zr 0.0000 0.0000 0.9522  4 Re 2.93, 4 Zr 3.01
2 Zr 0.5000 0.5000 0.3041  4 Cr 2.86, 4 Zr 3.01
3 Re 0.5000 0.5000 0.7038  4 Cr 2.51
4 Cr 0.0000 0.0000 0.5398  4 Re 2.51

Computed properties:
formation enthalpy at 0 K: -0.008 eV/atom
space-group type: P4mm, No. 99
polymorph energy (0 for the lowest one): 28 meV per atom

***

(3)
Computed, not measured: crystalline Zr2CrRe3 at its relaxed geometry at the PBE level of DFT.

Cell lengths 5.2973, 5.2973, 5.1947 Å; angles 90.09, 120.57, 119.98 degrees
With the nearest neighbours (Å) after each atom.
Sites, in units of the cell vectors:
1 Cr 0.0000 0.0000 0.0000  6 Re 2.60
2 Re 0.0000 0.0000 0.5000  2 Cr 2.60, 4 Re 2.65
3 Re 0.5000 0.0000 0.5000  2 Cr 2.60, 4 Re 2.65
4 Re 0.5000 0.5000 0.5000  2 Cr 2.60, 4 Re 2.65
5 Zr 0.7500 0.3750 0.1250  9 Re 3.04-3.08, 3 Cr 3.10, 4 Zr 3.15-3.24
6 Zr 0.2500 0.6250 0.8750  9 Re 3.04-3.08, 3 Cr 3.10, 4 Zr 3.15-3.24

Computed properties:
formation enthalpy at 0 K: -0.299 eV/atom
space-group type: R-3m, No. 166

***

- Among the records above, which one has the highest formation enthalpy at 0 K?
  number 1